Entry 1:
! AcCuRe, relaxed, DFT PBE; values from VASP
&SYSTEM
  ibrav = 0, nat = 6, ntyp = 3
/
ATOMIC_SPECIES
Ac 227.00 Ac.upf
Cu 63.55 Cu.upf
Re 186.21 Re.upf
ATOMIC_POSITIONS crystal
Ac 0.2500 0.1163 0.7674
Ac 0.7500 0.8837 0.2326
Cu 0.2500 0.4686 0.0629
Cu 0.7500 0.5314 0.9371
Re 0.7500 0.7391 0.5218
Re 0.2500 0.2609 0.4782
CELL_PARAMETERS angstrom
-1.4333 2.3170 -2.8065
-2.2697 -2.3450 -0.7768
-7.8776 3.0563 6.5464
! Fermi-level density of states = 0.848 states/eV per atom
! Total magnetic moment = 0.000 μB/atom

Entry 2:
! Ac3Cu2Rh3, relaxed, DFT PBE; values from VASP
&SYSTEM
  ibrav = 0, nat = 16, ntyp = 3
/
ATOMIC_SPECIES
Ac 227.00 Ac.upf
Cu 63.55 Cu.upf
Rh 102.91 Rh.upf
ATOMIC_POSITIONS crystal
Ac 0.8643 0.7285 0.4070
Ac 0.1357 0.2715 0.9070
Ac 0.8643 0.7285 0.0930
Ac 0.1357 0.2715 0.5930
Ac 0.5833 0.1667 0.2500
Ac 0.4167 0.8333 0.7500
Cu 0.8389 0.6778 0.8852
Cu 0.1611 0.3222 0.3852
Cu 0.8389 0.6778 0.6148
Cu 0.1611 0.3222 0.1148
Rh 0.5833 0.1666 0.4427
Rh 0.4167 0.8334 0.9427
Rh 0.5833 0.1666 0.0573
Rh 0.4167 0.8334 0.5573
Rh 0.3006 0.6012 0.2500
Rh 0.6994 0.3988 0.7500
CELL_PARAMETERS angstrom
-0.2282 0.4786 -4.3600
2.7266 -5.1250 1.5069
-13.8444 -7.3910 -0.0866
! Fermi-level density of states = 0.540 states/eV per atom
! Total magnetic moment = 0.000 μB/atom

Entry 3:
! Ac8Cu2Rh, relaxed, DFT PBE; values from VASP
&SYSTEM
  ibrav = 0, nat = 11, ntyp = 3
/
ATOMIC_SPECIES
Ac 227.00 Ac.upf
Rh 102.91 Rh.upf
Cu 63.55 Cu.upf
ATOMIC_POSITIONS crystal
Ac 0.5949 0.5227 0.1899
Ac 0.3471 0.0161 0.6942
Ac 0.2276 0.3261 0.4552
Ac 0.9909 0.7909 0.9819
Ac 0.7724 0.6739 0.5448
Ac 0.6529 0.9839 0.3058
Ac 0.4051 0.4773 0.8101
Ac 0.0091 0.2091 0.0181
Rh 0.5000 0.0000 0.0000
Cu 0.1602 0.7372 0.3204
Cu 0.8398 0.2628 0.6796
CELL_PARAMETERS angstrom
4.0444 0.0000 -0.8591
-0.1299 9.8958 -0.6113
0.0369 0.0622 10.1231
! Fermi-level density of states = 1.221 states/eV per atom
! Total magnetic moment = 0.000 μB/atom
! Relative energy among the computed polymorphs = 0 meV per atom

Number 1: formation energy from the elements 0.36 eV per atom. Number 2: formation energy from the elements -0.45 eV per atom. Number 3: formation energy from the elements -0.17 eV per atom.